No. 1
Entry from the Alexandria database: an optimized crystal structure of MoPPb2 (PBE).

```
MoPPb2
1.0
3.2605 0.0000 0.0000
0.0000 3.2605 0.0000
0.0000 0.0000 8.2145
Mo P Pb
1 1 2
direct
0.0000 0.0000 0.0000
0.0000 0.0000 0.5000
0.5000 0.5000 0.2429
0.5000 0.5000 0.7571
```



No. 2
Entry from the Alexandria database: an optimized crystal structure of MoPPb2 (PBE).

```
MoPPb2
1.0
5.4839 -1.6239 0.0000
5.4839 1.6239 0.0000
-1.6205 0.0000 5.0499
Mo P Pb
1 1 2
direct
0.0000 0.0000 0.0000
0.3532 0.3532 0.7467
0.5624 0.5624 0.5244
0.7570 0.7570 0.1494
```



No. 3
Entry from the Alexandria database: an optimized crystal structure of MoPPb2 (PBE).

```
MoPPb2
1.0
3.7309 0.0000 0.0000
0.0000 3.6309 0.0000
-0.9999 0.0000 6.2897
Mo P Pb
1 1 2
direct
0.0000 0.0000 0.0000
0.0000 0.0000 0.5000
0.4577 0.5000 0.7545
0.5423 0.5000 0.2455
```



No. 4
Entry from the Alexandria database: an optimized crystal structure of MoP2Pb (PBE).

```
MoP2Pb
1.0
3.5381 0.0000 0.0000
0.0000 4.5240 0.0000
-0.7903 0.0000 4.9946
Mo P Pb
1 2 1
direct
0.0000 0.0000 0.0000
0.2180 0.5000 0.8619
0.7820 0.5000 0.1381
0.5000 0.0000 0.5000
```



No. 5
Entry from the Alexandria database: an optimized crystal structure of Mo2PPb (PBE).

```
Mo2PPb
1.0
1.7056 -2.3818 0.0000
1.7056 2.3818 0.0000
0.0000 0.0000 9.8292
Mo P Pb
2 1 1
direct
0.0000 0.0000 0.0000
0.5000 0.5000 0.2135
0.0000 0.0000 0.3907
0.5000 0.5000 0.7459
```



No. 6
Entry from the Alexandria database: an optimized crystal structure of Mo6PPb8 (PBE).

```
Mo6PPb8
1.0
4.9251 2.8435 4.3490
-4.9251 2.8435 4.3490
0.0000 -5.6870 4.3490
Mo P Pb
6 1 8
direct
0.2491 0.5578 0.4603
0.4422 0.5397 0.7509
0.4603 0.2491 0.5578
0.5397 0.7509 0.4422
0.5578 0.4603 0.2491
0.7509 0.4422 0.5397
0.0000 0.0000 0.0000
0.0656 0.3772 0.8005
0.1995 0.9344 0.6228
0.2219 0.2219 0.2219
0.3772 0.8005 0.0656
0.6228 0.1995 0.9344
0.7781 0.7781 0.7781
0.8005 0.0656 0.3772
0.9344 0.6228 0.1995
```



| no. | final energy (eV per atom) | M_tot (μB/cell) |
| --- | --- | --- |
| 1 | -5.049 | 1.4 |
| 2 | -5.589 | 0.0 |
| 3 | -5.162 | 0.0 |
| 4 | -6.069 | 0.2 |
| 5 | -7.335 | 0.0 |
| 6 | -6.154 | 0.0 |